An optimized crystal structure of La2ThC2Cl2. Source: Alexandria, functional PBE.

Cell lengths 4.805, 4.805, 8.173 Å; angles 107.09, 107.09, 90.00 degrees
Sites, in units of the cell vectors:
C: 0.500 0.000 0.000
C: 0.000 0.500 0.000
Cl: 0.197 0.197 0.395
Cl: 0.803 0.803 0.605
Th: 0.000 0.000 0.000
La: 0.602 0.602 0.204
La: 0.398 0.398 0.796

Results
- space group = I4/mmm
- total energy (eV per atom) = -6.47

---

An optimized crystal structure of Zr4Al3Hg. Source: Alexandria, functional PBE.

Cell lengths 3.659, 3.659, 12.038 Å; angles 90.00, 90.00, 90.00 degrees
Sites, in units of the cell vectors:
Zr: 0.000 0.000 0.132
Zr: 0.000 0.000 0.379
Zr: 0.000 0.000 0.621
Zr: 0.000 0.000 0.868
Hg: 0.500 0.500 0.000
Al: 0.500 0.500 0.258
Al: 0.500 0.500 0.500
Al: 0.500 0.500 0.742

Results
- space group = P4/mmm
- total energy (eV per atom) = -6.00
- calculated formation energy (eV/atom) = -0.2804